# 1
Computed, not measured: a geometry-optimized NaTlSe2 structure at the PBE level of DFT.

```
NaTlSe2
1.0
7.2246 0.0000 0.0000
0.0000 4.2520 0.0000
0.0000 0.0000 16.9651
Na Tl Se
4 4 8
Cartesian
0.2726 1.0630 3.3557
3.3396 3.1890 11.8383
3.8849 1.0630 5.1268
6.9519 3.1890 13.6094
0.1622 3.1890 6.8390
3.4501 1.0630 15.3216
3.7745 3.1890 1.6435
7.0624 1.0630 10.1261
1.4434 3.1890 9.4413
1.7765 1.0630 13.3689
1.8357 3.1890 4.8864
2.1689 1.0630 0.9587
5.0557 3.1890 16.0064
5.3888 1.0630 12.0788
5.4480 3.1890 3.5962
5.7812 1.0630 7.5238
```

***

# 2
Computed, not measured: a geometry-optimized NaTl4Se2 structure at the PBE level of DFT.

```
NaTl4Se2
1.0
3.5806 -2.0669 0.0000
3.5806 2.0669 0.0000
-2.3523 0.0000 14.3831
Na Tl Se
1 4 2
Cartesian
0.0000 0.0000 0.0000
0.0152 0.0000 5.9617
2.3922 0.0000 3.4698
2.4166 0.0000 10.9133
4.7937 0.0000 8.4214
0.0310 0.0000 12.5101
4.7778 0.0000 1.8730
```

***

# 3
NaTl2Se2 | the Alexandria database | PBE | optimized geometry; distance to the lowest polymorph of the same formula = 0 meV per atom
1.0
10.3074 0.0000 0.0000
0.0000 8.5777 0.0000
-2.2241 0.0000 7.0709
Na Tl Se
4 8 8
Cartesian
0.8095 1.3635 3.2985
-0.3026 2.9253 6.8340
8.3859 5.6524 0.2370
7.2738 7.2142 3.7724
0.4620 5.2348 3.4159
-0.6500 7.6318 6.9514
2.4078 6.2866 6.6561
3.5198 6.5799 3.1206
4.5635 1.9977 3.9503
5.6755 2.2911 0.4148
8.7333 0.9459 0.1195
7.6212 3.3429 3.6550
-1.6094 5.2527 5.4846
-0.4973 7.6138 1.9491
3.3302 0.8033 1.5505
2.2182 3.4855 5.0860
5.8651 5.0922 1.9850
4.7530 7.7744 5.5205
8.5806 0.9639 5.1218
9.6926 3.3250 1.5863

***

# 4
Computed, not measured: a geometry-optimized NaTlSe2 structure at the PBE level of DFT.

```
NaTlSe2
1.0
4.4826 0.0000 0.0000
0.0068 7.4623 0.0000
2.2319 3.6773 6.9556
Na Tl Se
2 2 4
Cartesian
0.0000 0.0000 0.0000
2.2349 7.3310 5.1140
2.2405 2.2157 2.0520
4.4804 5.0401 2.3610
4.4732 8.8210 6.9231
4.4734 5.2562 5.9274
4.4748 2.9490 5.0179
4.4874 7.8908 2.9170
```

***

# 5
Computed, not measured: a geometry-optimized NaTlSe2 structure at the PBE level of DFT.

```
NaTlSe2
1.0
6.3453 -4.8163 0.0000
6.3453 4.8163 0.0000
-3.6952 0.0000 15.2554
Na Tl Se
8 8 16
Cartesian
3.8798 3.5567 9.3660
3.2682 3.5567 13.5172
-0.1131 0.6658 13.1222
1.7344 -0.6658 5.4945
7.2611 0.6658 9.7610
9.1087 -0.6658 2.1332
5.7274 -3.5567 1.7383
5.1158 -3.5567 5.8895
3.4747 3.0555 5.8795
4.0075 0.8594 2.4124
7.3684 3.0555 1.7482
2.1599 -0.8594 10.0401
6.8356 0.8594 5.2153
1.6271 -3.0555 13.5072
4.9880 -0.8594 12.8430
5.5208 -3.0555 9.3759
1.2310 2.6433 11.0733
1.8683 0.4723 0.3369
5.4216 3.6263 3.8139
0.0207 -0.4723 7.9646
3.5740 1.5817 11.4416
2.2326 1.1379 15.2508
4.9153 1.1379 7.6324
5.9169 2.6433 11.8098
3.0786 -2.6433 3.4456
4.0802 -1.1379 7.6231
6.7629 -1.1379 0.0047
5.4216 -1.5817 3.8139
8.9748 0.4723 7.2908
3.5740 -3.6263 11.4416
7.1273 -0.4723 14.9185
7.7645 -2.6433 4.1821
```

***

# 6
NaTl2Se2 | the Alexandria database | PBE | optimized geometry; distance to the lowest polymorph of the same formula = 78 meV per atom
1.0
8.2487 0.0000 0.0000
0.0000 8.2487 0.0000
0.0000 0.0000 4.2110
Na Tl Se
2 4 4
Cartesian
0.0000 0.0000 0.0000
4.1243 4.1243 0.0000
1.1645 2.9599 2.1055
2.9599 7.0842 2.1055
5.2888 1.1645 2.1055
7.0842 5.2888 2.1055
1.3833 5.5077 0.0000
2.7410 1.3833 0.0000
5.5077 6.8653 0.0000
6.8653 2.7410 0.0000

***

Across the entries above, energy relative to the elements, uncorrected takes the values -52.1, -34.8, -48.8, -51.4, -47.2, -41.3 kJ per mole of atoms, respectively.